Entry 1:
TlCuSi2: relaxed, GGA-PBE.

Values from the calculation:
**Volume**: 73.7 Å³/f.u.
**M_tot**: 0.00 μB/atom
**Uncorrected formation energy**: 0.64 eV per atom

```
data_TlCuSi2
_symmetry_space_group_name_H-M 'F -4 3 m'
_symmetry_Int_Tables_number 216
_symmetry_space_group_name_Hall 'F -4 2 3'
_cell_length_a 6.654
_cell_length_b 6.654
_cell_length_c 6.654
_cell_angle_alpha 90.00
_cell_angle_beta 90.00
_cell_angle_gamma 90.00
loop_
_atom_site_label
_atom_site_type_symbol
_atom_site_fract_x
_atom_site_fract_y
_atom_site_fract_z
Tl1 Tl 0.000 0.000 0.000
Cu1 Cu 0.250 0.250 0.750
Si1 Si 0.000 0.000 0.500
Si2 Si 0.250 0.250 0.250
```

Entry 2:
TlCu3Si: relaxed, GGA-PBE.

Values from the calculation:
**Volume**: 94.3 Å³/f.u.
**M_tot**: 0.00 μB/atom
**Uncorrected formation energy**: 0.30 eV per atom

```
data_TlCu3Si
_symmetry_space_group_name_H-M 'P m -3 m'
_symmetry_Int_Tables_number 221
_symmetry_space_group_name_Hall '-P 4 2 3'
_cell_length_a 4.552
_cell_length_b 4.552
_cell_length_c 4.552
_cell_angle_alpha 90.00
_cell_angle_beta 90.00
_cell_angle_gamma 90.00
loop_
_atom_site_label
_atom_site_type_symbol
_atom_site_fract_x
_atom_site_fract_y
_atom_site_fract_z
Tl1 Tl 0.000 0.000 0.000
Cu1 Cu 0.000 0.500 0.500
Si1 Si 0.500 0.500 0.500
```

Entry 3:
TlCuSi: relaxed, GGA-PBE.

Values from the calculation:
**Volume**: 57.7 Å³/f.u.
**M_tot**: 0.00 μB/atom
**Uncorrected formation energy**: 0.68 eV per atom

```
data_TlCuSi
_symmetry_space_group_name_H-M 'P 63/m m c'
_symmetry_Int_Tables_number 194
_symmetry_space_group_name_Hall '-P 6c 2c'
_cell_length_a 4.8759
_cell_length_b 4.8759
_cell_length_c 5.6084
_cell_angle_alpha 90.00
_cell_angle_beta 90.00
_cell_angle_gamma 120.00
loop_
_atom_site_label
_atom_site_type_symbol
_atom_site_fract_x
_atom_site_fract_y
_atom_site_fract_z
Tl1 Tl 0.3333 0.6667 0.2500
Cu1 Cu 0.0000 0.0000 0.0000
Si1 Si 0.3333 0.6667 0.7500
```